# 1
The following is a GGA-PBE calculation of crystalline PmY6Tl2 at its relaxed geometry, from Alexandria via LeMat-Bulk.

As for the uncorrected energy: -5.526 eV per atom. The crystal system is monoclinic.

It has space group C2/m (No. 12), with a = 12.8520 Å, b = 3.7691 Å, c = 12.0918 Å, α = 90.00°, β = 107.72° and γ = 90.00°. Symmetry generates all atoms from Pm at (0.0000, 0.0000, 0.0000), Y at (0.0138, 0.0000, 0.3460), Y at (0.1872, 0.5000, 0.8745), Y at (0.1914, 0.5000, 0.5848) and Tl at (0.1410, 0.5000, 0.2113).


# 2
The following is a GGA-PBE calculation of crystalline Pm7YTl2 at its relaxed geometry, from Alexandria via LeMat-Bulk.

As for the uncorrected energy: -4.109 eV per atom. The crystal system is orthorhombic.

It has space group Cmmm (No. 65), with a = 9.3510 Å, b = 16.0908 Å, c = 5.3716 Å, α = 90.00°, β = 90.00° and γ = 90.00°. Symmetry generates all atoms from Pm at (0.0000, 0.0000, 0.0000), Pm at (0.0000, 0.2761, 0.5000), Pm at (0.1816, 0.3805, 0.0000), Y at (0.0000, 0.5000, 0.5000) and Tl at (0.0000, 0.1933, 0.0000).


# 3
The following is a GGA-PBE calculation of crystalline Pm3Y2Tl at its relaxed geometry, from Alexandria via LeMat-Bulk.

For the energy above the lowest structure with this stoichiometry, the calculation gives 0.23 eV/f.u. The crystal system is monoclinic.

It has space group C2/c (No. 15), with a = 17.3633 Å, b = 6.8709 Å, c = 6.5355 Å, α = 90.00°, β = 99.52° and γ = 90.00°. Symmetry generates all atoms from Pm at (0.0000, 0.2231, 0.2500), Pm at (0.1680, 0.1172, 0.0384), Y at (0.1619, 0.3927, 0.5720) and Tl at (0.0000, 0.2880, 0.7500).


# 4
The following is a GGA-PBE calculation of crystalline PmY3Tl4 at its relaxed geometry, from Alexandria via LeMat-Bulk.

For the energy above the lowest structure with this stoichiometry, the calculation gives 0.00 eV/f.u. The crystal system is tetragonal.

It has space group P4/mmm (No. 123), with a = 5.4275 Å, b = 5.4275 Å, c = 7.5730 Å, α = 90.00°, β = 90.00° and γ = 90.00°. Symmetry generates all atoms from Pm at (0.0000, 0.0000, 0.0000), Y at (0.0000, 0.0000, 0.5000), Y at (0.5000, 0.5000, 0.0000), Y at (0.5000, 0.5000, 0.5000) and Tl at (0.0000, 0.5000, 0.2541).


# 5
The following is a GGA-PBE calculation of crystalline Pm3Y3Tl at its relaxed geometry, from Alexandria via LeMat-Bulk.

As for the uncorrected energy: -5.215 eV per atom. The crystal system is hexagonal.

It has space group P6_3/m (No. 176), with a = 9.5348 Å, b = 9.5348 Å, c = 5.6468 Å, α = 90.00°, β = 90.00° and γ = 120.00°. Symmetry generates all atoms from Pm at (0.1075, 0.4787, 0.2500), Y at (0.0625, 0.2399, 0.7500) and Tl at (0.3333, 0.6667, 0.7500).


# 6
The following is a GGA-PBE calculation of crystalline PmY4Tl2 at its relaxed geometry, from Alexandria via LeMat-Bulk.

As for the uncorrected energy: -4.997 eV per atom. The crystal system is trigonal.

It has space group R-3m (No. 166, hexagonal axes), with a = 5.1488 Å, b = 5.1488 Å, c = 30.9646 Å, α = 90.00°, β = 90.00° and γ = 120.00°. Symmetry generates all atoms from Pm at (0.0000, 0.0000, 0.0000), Y at (0.0000, 0.0000, 0.2057), Y at (0.0000, 0.0000, 0.3893) and Tl at (0.0000, 0.0000, 0.1020).


# 7
The following is a GGA-PBE calculation of crystalline Pm4Y2Tl at its relaxed geometry, from Alexandria via LeMat-Bulk.

As for the uncorrected energy: -4.457 eV per atom. The crystal system is orthorhombic.

It has space group Cmmm (No. 65), with a = 6.2508 Å, b = 12.4802 Å, c = 6.1013 Å, α = 90.00°, β = 90.00° and γ = 90.00°. Symmetry generates all atoms from Pm at (0.0000, 0.1324, 0.0000), Pm at (0.0000, 0.3295, 0.5000), Y at (0.0000, 0.3806, 0.0000) and Tl at (0.0000, 0.0000, 0.5000).


# 8
The following is a GGA-PBE calculation of crystalline Pm4YTl3 at its relaxed geometry, from Alexandria via LeMat-Bulk.

As for the uncorrected energy: -4.298 eV per atom. The crystal system is orthorhombic.

It has space group Pmma (No. 51), with a = 11.4062 Å, b = 6.9651 Å, c = 5.9919 Å, α = 90.00°, β = 90.00° and γ = 90.00°. Symmetry generates all atoms from Pm at (0.0000, 0.2481, 0.0000), Pm at (0.2500, 0.2417, 0.3779), Y at (0.0000, 0.5000, 0.5000), Tl at (0.0000, 0.0000, 0.5000), Tl at (0.2500, 0.0000, 0.8686) and Tl at (0.2500, 0.5000, 0.8592).


# 9
The following is a GGA-PBE calculation of crystalline Pm6YTl2 at its relaxed geometry, from Alexandria via LeMat-Bulk.

As for the uncorrected energy: -4.568 eV per atom. The crystal system is monoclinic.

It has space group C2/m (No. 12), with a = 13.1562 Å, b = 3.8244 Å, c = 12.1066 Å, α = 90.00°, β = 108.14° and γ = 90.00°. Symmetry generates all atoms from Pm at (0.0143, 0.0000, 0.3429), Pm at (0.1846, 0.5000, 0.8760), Pm at (0.1931, 0.5000, 0.5892), Y at (0.0000, 0.0000, 0.0000) and Tl at (0.1369, 0.5000, 0.1993).


# 10
The following is a GGA-PBE calculation of crystalline Pm5Y4Tl at its relaxed geometry, from Alexandria via LeMat-Bulk.

For the energy above the lowest structure with this stoichiometry, the calculation gives 1.28 eV/f.u. The crystal system is tetragonal.

It has space group I4mm (No. 107), with a = 10.6927 Å, b = 10.6927 Å, c = 5.9715 Å, α = 90.00°, β = 90.00° and γ = 90.00°. Symmetry generates all atoms from Pm at (0.0000, 0.0000, 0.0000), Pm at (0.1867, 0.1867, 0.7156), Y at (0.0000, 0.3181, 0.2036) and Tl at (0.0000, 0.0000, 0.4785).


# 11
The following is a GGA-PBE calculation of crystalline Pm8Y6Tl at its relaxed geometry, from Alexandria via LeMat-Bulk.

As for the uncorrected energy: -5.198 eV per atom. The crystal system is trigonal.

It has space group P-3 (No. 147), with a = 9.4248 Å, b = 9.4248 Å, c = 6.5203 Å, α = 90.00°, β = 90.00° and γ = 120.00°. Symmetry generates all atoms from Pm at (0.0427, 0.2707, 0.1805), Pm at (0.3333, 0.6667, 0.1656), Y at (0.0966, 0.4492, 0.6703) and Tl at (0.0000, 0.0000, 0.5000).


# 12
The following is a GGA-PBE calculation of crystalline PmY2Tl at its relaxed geometry, from Alexandria via LeMat-Bulk.

For the energy above the lowest structure with this stoichiometry, the calculation gives 0.01 eV/f.u. The crystal system is monoclinic.

It has space group P2_1/m (No. 11), with a = 6.7033 Å, b = 5.4533 Å, c = 6.7703 Å, α = 90.00°, β = 99.32° and γ = 90.00°. Symmetry generates all atoms from Pm at (0.1597, 0.2500, 0.4300), Y at (0.0857, 0.2500, 0.9114), Y at (0.3719, 0.7500, 0.7761) and Tl at (0.3832, 0.7500, 0.2573).


Total magnetization
In order: 0.0, 0.0, 0.0, 0.0, 0.5, 3.3, 0.0, 0.0, 0.0, 0.0, 0.0, 0.0
Unit: μB/cell